1.
Here is an optimized crystal structure of SrZr2Sc from Alexandria via LeMat-Bulk. Energies are from PBE-GGA.

a = 6.6224 Å, b = 6.6224 Å, c = 6.6224 Å
α = 150.24°, β = 130.34°, γ = 58.98°
Closest atoms and distances in Å follow each position.
Positions (direct):
Sr 0.0000 0.0000 0.0000  4 Sc 3.26, 2 Sr 3.40, 4 Zr 3.56
Zr 0.2708 0.7708 0.5000  2 Sc 3.14, 6 Zr 3.30-3.40
Zr 0.7292 0.2292 0.5000  2 Sc 3.14, 6 Zr 3.30-3.40
Sc 0.5000 0.5000 0.0000  4 Zr 3.14, 4 Sr 3.26, 2 Sc 3.40

Results
ρ   4.80 g/cm3
Space group   Immm, No. 71
Electronic total energy   -5.843 eV/atom
ΔE to the lowest computed polymorph   193.2 meV per atom
Calculated volume   27.26 Å³ per atom
Formation energy   434 meV per atom


2.
Here is an optimized crystal structure of SrZrSc2 from Alexandria via LeMat-Bulk. Energies are from PBE-GGA.

a = 3.2974 Å, b = 5.1916 Å, c = 6.9471 Å
α = 90.00°, β = 103.66°, γ = 90.00°
Closest atoms and distances in Å follow each position.
Positions (direct):
Sr 0.0000 0.0000 0.0000  2 Sr 3.30, 5 Sc 3.35-3.60
Zr 0.6670 0.5000 0.3317  6 Sc 3.11-3.27, 2 Zr 3.30
Sc 0.2499 0.0000 0.4969  4 Sc 3.01-3.30, 4 Zr 3.27, 1 Sr 3.35
Sc 0.3612 0.5000 0.7229  4 Sc 3.01-3.30, 2 Zr 3.11

Results
ρ   3.86 g/cm3
Space group   Pm, No. 6
Electronic total energy   -5.441 eV/atom
ΔE to the lowest computed polymorph   90.8 meV per atom
Calculated volume   28.89 Å³ per atom
Formation energy   282 meV per atom